[1]
Below is a relaxed structure of Ac6TlNi2, with properties calculated at the PBE level.

- density (kg/m³) = 9049
- VASP energy (eV for the cell shown) = -161.2

Unit cell a=10.1140 b=10.9196 c=11.1910 alpha=90.00 beta=90.00 gamma=90.00
With the nearest neighbours (Å) after each atom.
Space group Immm (No. 71)
Symmetry-distinct sites (fractional):
Ac1 0.0000 0.1995 0.2266  1 Ni 3.08, 1 Tl 3.34
Ac2 0.1859 0.5000 0.1729  3 Ni 3.00-3.10
Ac3 0.2024 0.3218 0.5000  2 Ni 3.12
Tl1 0.0000 0.0000 0.0000  8 Ac 3.34-3.58
Tl2 0.0000 0.0000 0.5000  12 Ac 3.72-4.07
Ni1 0.0000 0.3595 0.0000  1 Ni 3.07, 6 Ac 3.08-3.10
Ni2 0.0000 0.5000 0.3815  1 Ni 2.65



[2]
Below is a relaxed structure of Ac2TlNi, with properties calculated at the PBE level.

- density (kg/m³) = 9906
- VASP energy (eV for the cell shown) = -17.3

Unit cell a=3.8126 b=3.8126 c=8.2692 alpha=90.00 beta=90.00 gamma=90.00
With the nearest neighbours (Å) after each atom.
Space group P4/mmm (No. 123)
Symmetry-distinct sites (fractional):
Ac1 0.0000 0.0000 0.2133  4 Ni 3.22, 1 Ac 3.53, 4 Tl 3.59
Tl1 0.5000 0.5000 0.5000  8 Ac 3.59, 4 Tl 3.81
Ni1 0.5000 0.5000 0.0000  8 Ac 3.22



[3]
Below is a relaxed structure of AcTl2Ni, with properties calculated at the PBE level.

- density (kg/m³) = 9360
- VASP energy (eV for the cell shown) = -40.1

Unit cell a=3.7820 b=3.7820 c=29.8400 alpha=90.00 beta=90.00 gamma=120.00
With the nearest neighbours (Å) after each atom.
Space group R-3m (No. 166, hexagonal axes)
Symmetry-distinct sites (fractional):
Ac1 0.0000 0.0000 0.0000  2 Tl 3.38
Tl1 0.0000 0.0000 0.1131  3 Ni 2.71
Ni1 0.0000 0.0000 0.5000  6 Tl 2.71



[4]
Below is a relaxed structure of Ac7Tl2Ni2, with properties calculated at the PBE level.

- density (kg/m³) = 8690
- VASP energy (eV for the cell shown) = -93.3

Unit cell a=8.5798 b=12.3156 c=7.6499 alpha=90.00 beta=90.00 gamma=90.00
With the nearest neighbours (Å) after each atom.
Space group Cmmm (No. 65)
Symmetry-distinct sites (fractional):
Ac1 0.0000 0.0000 0.0000  2 Ni 3.64
Ac2 0.0000 0.5000 0.2332  2 Ni 3.09
Ac3 0.2500 0.2500 0.2465  2 Ni 2.91
Tl1 0.1728 0.0000 0.5000  1 Tl 2.97
Ni1 0.0000 0.2952 0.0000  6 Ac 2.91-3.09



Question: The highest density belongs to which entry?
Answer: Ac2TlNi